Run i
Material: Rb2PuF7
Method: DFT, PBE
State: optimized geometry

Output
DOS at the Fermi energy (states/eV/cell): 30.02

Cell lengths 14.608, 7.294, 9.604 Å; angles 90.00, 129.27, 90.00 degrees
Space group C2/c (No. 15)
Inequivalent atoms, fractional coordinates:
Rb 0.185 0.066 0.277 [8 per cell]
Pu 0.000 0.395 0.750 [4 per cell]
F 0.000 0.102 0.750 [4 per cell]
F 0.085 0.361 0.024 [8 per cell]
F 0.112 0.357 0.373 [8 per cell]
F 0.159 0.332 0.793 [8 per cell]

Run ii
Material: Rb2PuF7
Method: DFT, PBE
State: optimized geometry

Output
DOS at the Fermi energy (states/eV/cell): 81.39

Cell lengths 9.624, 9.624, 9.624 Å; angles 90.00, 90.00, 90.00 degrees
Space group Fm-3m (No. 225)
Inequivalent atoms, fractional coordinates:
Rb 0.250 0.250 0.250 [8 per cell]
Pu 0.000 0.000 0.000 [4 per cell]
F 0.000 0.000 0.218 [24 per cell]
F 0.000 0.000 0.500 [4 per cell]

List of relative energies, unit kJ/mol of atoms: run i 0.0; run ii 22.0

Run i
Material: RbPuF3
Method: DFT, PBE
State: optimized geometry

Output
DOS at the Fermi energy (states/eV/cell): 9.75

Cell lengths 4.828, 4.828, 4.828 Å; angles 90.00, 90.00, 90.00 degrees
Space group Pm-3m (No. 221)
Inequivalent atoms, fractional coordinates:
Rb 0.000 0.000 0.000 [1 per cell]
Pu 0.500 0.500 0.500 [1 per cell]
F 0.000 0.500 0.500 [3 per cell]

Run ii
Material: RbPuF3
Method: DFT, PBE
State: optimized geometry

Output
DOS at the Fermi energy (states/eV/cell): 33.08

Cell lengths 8.123, 6.028, 7.854 Å; angles 90.00, 91.11, 90.00 degrees
Space group P2_1/c (No. 14)
Inequivalent atoms, fractional coordinates:
Rb 0.113 0.236 0.381 [4 per cell]
Pu 0.416 0.722 0.375 [4 per cell]
F 0.122 0.726 0.374 [4 per cell]
F 0.333 0.506 0.642 [4 per cell]
F 0.360 0.502 0.111 [4 per cell]

List of relative energies, unit kJ/mol of atoms: run i 5.2; run ii 0.0

Run i
Material: Pu2SF
Method: DFT, PBE
State: optimized geometry

Output
DOS at the Fermi energy (states/eV/cell): 54.86

Cell lengths 6.766, 6.766, 6.766 Å; angles 90.00, 90.00, 90.00 degrees
Space group Fm-3m (No. 225)
Inequivalent atoms, fractional coordinates:
Pu 0.250 0.250 0.250 [8 per cell]
S 0.000 0.000 0.000 [4 per cell]
F 0.000 0.000 0.500 [4 per cell]

Run ii
Material: Pu2SF
Method: DFT, PBE
State: optimized geometry

Output
DOS at the Fermi energy (states/eV/cell): 48.91

Cell lengths 3.8297, 3.8297, 18.8794 Å; angles 90.00, 90.00, 120.00 degrees
Space group R-3m (No. 166, hexagonal axes)
Inequivalent atoms, fractional coordinates:
Pu 0.0000 0.0000 0.2460 [6 per cell]
S 0.0000 0.0000 0.0000 [3 per cell]
F 0.0000 0.0000 0.5000 [3 per cell]

List of relative energies, unit kJ/mol of atoms: run i 20.5; run ii 0.0

Run i
Material: Pu2SbF
Method: DFT, PBE
State: optimized geometry

Output
DOS at the Fermi energy (states/eV/cell): 46.98

Cell lengths 4.1907, 4.1907, 19.1392 Å; angles 90.00, 90.00, 120.00 degrees
Space group R-3m (No. 166, hexagonal axes)
Inequivalent atoms, fractional coordinates:
Pu 0.0000 0.0000 0.2327 [6 per cell]
Sb 0.0000 0.0000 0.0000 [3 per cell]
F 0.0000 0.0000 0.5000 [3 per cell]

Run ii
Material: Pu2SbF
Method: DFT, PBE
State: optimized geometry

Output
DOS at the Fermi energy (states/eV/cell): 13.28

Cell lengths 3.511, 3.511, 7.326 Å; angles 90.00, 90.00, 90.00 degrees
Space group P4/mmm (No. 123)
Inequivalent atoms, fractional coordinates:
Pu 0.000 0.000 0.229 [2 per cell]
Sb 0.500 0.500 0.500 [1 per cell]
F 0.500 0.500 0.000 [1 per cell]

List of relative energies, unit kJ/mol of atoms: run i 0.0; run ii 17.4

Run i
Material: Pu2SeF4
Method: DFT, PBE
State: optimized geometry

Output
DOS at the Fermi energy (states/eV/cell): 58.45

Cell lengths 4.1311, 4.1311, 22.7782 Å; angles 90.00, 90.00, 120.00 degrees
Space group R-3m (No. 166, hexagonal axes)
Inequivalent atoms, fractional coordinates:
Pu 0.0000 0.0000 0.2447 [6 per cell]
Se 0.0000 0.0000 0.0000 [3 per cell]
F 0.0000 0.0000 0.1396 [6 per cell]
F 0.0000 0.0000 0.4298 [6 per cell]

Run ii
Material: Pu2SeF4
Method: DFT, PBE
State: optimized geometry

Output
DOS at the Fermi energy (states/eV/cell): 37.04

Cell lengths 7.513, 7.513, 3.917 Å; angles 90.00, 90.00, 90.00 degrees
Space group P4_2/mnm (No. 136)
Inequivalent atoms, fractional coordinates:
Pu 0.219 0.219 0.000 [4 per cell]
Se 0.000 0.000 0.500 [2 per cell]
F 0.088 0.669 0.000 [8 per cell]

List of relative energies, unit kJ/mol of atoms: run i 0.0; run ii 0.7

Run i
Material: Pu2SeF
Method: DFT, PBE
State: optimized geometry

Output
DOS at the Fermi energy (states/eV/cell): 48.21

Cell lengths 3.9656, 3.9656, 19.1424 Å; angles 90.00, 90.00, 120.00 degrees
Space group R-3m (No. 166, hexagonal axes)
Inequivalent atoms, fractional coordinates:
Pu 0.0000 0.0000 0.2402 [6 per cell]
Se 0.0000 0.0000 0.0000 [3 per cell]
F 0.0000 0.0000 0.5000 [3 per cell]

Run ii
Material: Pu2SeF
Method: DFT, PBE
State: optimized geometry

Output
DOS at the Fermi energy (states/eV/cell): 61.31

Cell lengths 6.966, 6.966, 6.966 Å; angles 90.00, 90.00, 90.00 degrees
Space group Fm-3m (No. 225)
Inequivalent atoms, fractional coordinates:
Pu 0.250 0.250 0.250 [8 per cell]
Se 0.000 0.000 0.000 [4 per cell]
F 0.000 0.000 0.500 [4 per cell]

List of relative energies, unit kJ/mol of atoms: run i 0.0; run ii 16.9

Run i
Material: Pu2SnF
Method: DFT, PBE
State: optimized geometry

Output
DOS at the Fermi energy (states/eV/cell): 22.78

Cell lengths 4.2212, 4.2212, 15.6896 Å; angles 90.00, 90.00, 120.00 degrees
Space group R-3m (No. 166, hexagonal axes)
Inequivalent atoms, fractional coordinates:
Pu 0.0000 0.0000 0.1920 [6 per cell]
Sn 0.0000 0.0000 0.0000 [3 per cell]
F 0.0000 0.0000 0.5000 [3 per cell]

Run ii
Material: Pu2SnF
Method: DFT, PBE
State: optimized geometry

Output
DOS at the Fermi energy (states/eV/cell): 13.76

Cell lengths 3.249, 3.249, 8.313 Å; angles 90.00, 90.00, 90.00 degrees
Space group P4/mmm (No. 123)
Inequivalent atoms, fractional coordinates:
Pu 0.000 0.000 0.220 [2 per cell]
Sn 0.500 0.500 0.500 [1 per cell]
F 0.500 0.500 0.000 [1 per cell]

List of relative energies, unit kJ/mol of atoms: run i 67.6; run ii 0.0

Run i
Material: Pu2TeF
Method: DFT, PBE
State: optimized geometry

Output
DOS at the Fermi energy (states/eV/cell): 16.17

Cell lengths 4.952, 4.952, 3.930 Å; angles 90.00, 90.00, 90.00 degrees
Space group P4/mmm (No. 123)
Inequivalent atoms, fractional coordinates:
Pu 0.000 0.500 0.000 [2 per cell]
Te 0.000 0.000 0.500 [1 per cell]
F 0.500 0.500 0.500 [1 per cell]

Run ii
Material: Pu2TeF
Method: DFT, PBE
State: optimized geometry

Output
DOS at the Fermi energy (states/eV/cell): 48.33

Cell lengths 4.1105, 4.1105, 20.0615 Å; angles 90.00, 90.00, 120.00 degrees
Space group R-3m (No. 166, hexagonal axes)
Inequivalent atoms, fractional coordinates:
Pu 0.0000 0.0000 0.2330 [6 per cell]
Te 0.0000 0.0000 0.0000 [3 per cell]
F 0.0000 0.0000 0.5000 [3 per cell]

List of relative energies, unit kJ/mol of atoms: run i 16.9; run ii 0.0

Run i
Material: Pu2TlF8
Method: DFT, PBE
State: optimized geometry

Output
DOS at the Fermi energy (states/eV/cell): 25.70

Cell lengths 12.276, 7.502, 4.032 Å; angles 90.00, 104.88, 90.00 degrees
Space group C2/m (No. 12)
Inequivalent atoms, fractional coordinates:
Pu 0.167 0.000 0.408 [4 per cell]
Tl 0.000 0.500 0.000 [2 per cell]
F 0.057 0.000 0.804 [4 per cell]
F 0.145 0.289 0.442 [8 per cell]
F 0.236 0.500 0.014 [4 per cell]

Run ii
Material: Pu2TlF8
Method: DFT, PBE
State: optimized geometry

Output
DOS at the Fermi energy (states/eV/cell): 37.37

Cell lengths 7.155, 11.245, 4.495 Å; angles 90.00, 96.79, 90.00 degrees
Space group C2/m (No. 12)
Inequivalent atoms, fractional coordinates:
Pu 0.000 0.174 0.000 [4 per cell]
Tl 0.000 0.500 0.500 [2 per cell]
F 0.000 0.219 0.500 [4 per cell]
F 0.106 0.000 0.247 [4 per cell]
F 0.188 0.349 0.076 [8 per cell]

List of relative energies, unit kJ/mol of atoms: run i 5.2; run ii 0.0

Run i
Material: Rb3F
Method: DFT, PBE
State: optimized geometry

Output
DOS at the Fermi energy (states/eV/cell): 3.63

Cell lengths 3.958, 13.448, 7.884 Å; angles 90.00, 90.00, 90.00 degrees
Space group Imm2 (No. 44)
Inequivalent atoms, fractional coordinates:
Rb 0.000 0.000 0.000 [2 per cell]
Rb 0.000 0.143 0.421 [4 per cell]
F 0.000 0.500 0.779 [2 per cell]

Run ii
Material: Rb3F
Method: DFT, PBE
State: optimized geometry

Output
DOS at the Fermi energy (states/eV/cell): 1.92

Cell lengths 3.977, 4.337, 12.064 Å; angles 90.00, 90.00, 90.00 degrees
Space group Pmm2 (No. 25)
Inequivalent atoms, fractional coordinates:
Rb 0.000 0.000 0.000 [1 per cell]
Rb 0.000 0.500 0.265 [1 per cell]
Rb 0.500 0.500 0.646 [1 per cell]
F 0.500 0.000 0.172 [1 per cell]

List of relative energies, unit kJ/mol of atoms: run i 0.0; run ii 3.9

Run i
Material: Rb2ReF7
Method: DFT, PBE
State: optimized geometry

Cell lengths 14.222, 6.657, 10.331 Å; angles 90.00, 131.76, 90.00 degrees
Space group C2/c (No. 15)
Inequivalent atoms, fractional coordinates:
Rb 0.157 0.160 0.236 [8 per cell]
Re 0.000 0.305 0.750 [4 per cell]
F 0.000 0.397 0.250 [4 per cell]
F 0.076 0.061 0.901 [8 per cell]
F 0.109 0.304 0.696 [8 per cell]
F 0.144 0.395 0.987 [8 per cell]

Run ii
Material: Rb2ReF7
Method: DFT, PBE
State: optimized geometry

Output
DOS at the Fermi energy (states/eV/cell): 41.89

Cell lengths 9.324, 9.324, 9.324 Å; angles 90.00, 90.00, 90.00 degrees
Space group Fm-3m (No. 225)
Inequivalent atoms, fractional coordinates:
Rb 0.250 0.250 0.250 [8 per cell]
Re 0.000 0.000 0.000 [4 per cell]
F 0.000 0.000 0.208 [24 per cell]
F 0.000 0.000 0.500 [4 per cell]

List of relative energies, unit kJ/mol of atoms: run i 0.0; run ii 24.5

Run i
Material: RbReF2
Method: DFT, PBE
State: optimized geometry

Output
DOS at the Fermi energy (states/eV/cell): 12.41

Cell lengths 6.869, 6.869, 6.869 Å; angles 90.00, 90.00, 90.00 degrees
Space group Fm-3m (No. 225)
Inequivalent atoms, fractional coordinates:
Rb 0.000 0.000 0.000 [4 per cell]
Re 0.000 0.000 0.500 [4 per cell]
F 0.250 0.250 0.250 [8 per cell]

Run ii
Material: RbReF2
Method: DFT, PBE
State: optimized geometry

Output
DOS at the Fermi energy (states/eV/cell): 5.35

Cell lengths 2.9983, 2.9983, 23.9447 Å; angles 90.00, 90.00, 120.00 degrees
Space group R-3m (No. 166, hexagonal axes)
Inequivalent atoms, fractional coordinates:
Rb 0.0000 0.0000 0.0000 [3 per cell]
Re 0.0000 0.0000 0.5000 [3 per cell]
F 0.0000 0.0000 0.4147 [6 per cell]

List of relative energies, unit kJ/mol of atoms: run i 88.6; run ii 0.0